PBE LiCe2P, relaxed; ΔE_f = -2.15 eV per formula unit; distance to the lowest polymorph of the same formula = 0.00 eV per formula unit
1.0
4.3540 0.0000 0.0000
0.0000 4.3540 0.0000
0.0000 0.0000 4.2781
Li Ce P
1 2 1
Cartesian
0.0000 0.0000 0.0000
0.0000 2.1770 2.1390
2.1770 0.0000 2.1390
2.1770 2.1770 0.0000

=====

PBE SrAlReW2, relaxed; ΔE_f = 8.47 eV per formula unit; distance to the lowest polymorph of the same formula = 0.00 eV per formula unit
1.0
4.7828 0.0000 0.0000
0.0000 4.7828 0.0000
0.0000 0.0000 5.6805
Sr Al Re W
1 1 1 2
Cartesian
0.0000 0.0000 0.0000
2.3914 2.3914 0.0000
0.0000 0.0000 2.8403
0.0000 2.3914 2.8403
2.3914 0.0000 2.8403

=====

PBE LaReMo2, relaxed; ΔE_f = 2.60 eV per formula unit; distance to the lowest polymorph of the same formula = 1.07 eV per formula unit
1.0
4.7468 0.0000 0.0000
0.0000 4.7468 0.0000
0.0000 0.0000 3.2289
La Re Mo
1 1 2
Cartesian
0.0000 0.0000 0.0000
2.3734 2.3734 0.0000
0.0000 2.3734 1.6144
2.3734 0.0000 1.6144

=====

PBE Pu2AlSb, relaxed; distance to the lowest polymorph of the same formula = 0.00 eV per formula unit; energy relative to the elements, uncorrected = -386 meV per atom
1.0
4.6149 0.0000 0.0000
0.0000 4.6149 0.0000
0.0000 0.0000 4.5157
Pu Al Sb
2 1 1
Cartesian
0.0000 2.3074 0.0000
2.3074 0.0000 0.0000
0.0000 0.0000 2.2578
2.3074 2.3074 2.2578

=====

PBE Ac4RuAu2, relaxed; ΔE_f = -3.46 eV per formula unit; distance to the lowest polymorph of the same formula = 0.00 eV per formula unit
1.0
15.7832 0.0000 0.0000
0.0000 4.6143 0.0000
-1.5501 0.0000 6.4262
Ac Ru Au
8 2 4
Cartesian
0.8790 0.0000 1.7368
1.1032 2.3071 5.2283
5.2383 0.0000 1.1979
5.4624 2.3071 4.6894
8.7706 2.3071 1.7368
8.9947 0.0000 5.2283
13.1299 2.3071 1.1979
13.3540 0.0000 4.6894
0.0000 2.3071 0.0000
7.8916 0.0000 0.0000
3.1810 2.3071 2.1517
3.1605 0.0000 4.2745
11.0725 0.0000 2.1517
11.0521 2.3071 4.2745

=====

PBE FePd3, relaxed; ΔE_f = -0.26 eV per formula unit
1.0
2.7669 0.0000 0.0000
-1.3835 2.3962 0.0000
0.0000 0.0000 26.5654
Fe Pd
3 9
Cartesian
0.0000 0.0000 0.0000
0.0000 1.5975 17.7103
1.3835 0.7987 8.8551
0.0000 0.0000 6.7773
0.0000 0.0000 13.2827
0.0000 0.0000 19.7882
0.0000 1.5975 4.4276
0.0000 1.5975 10.9330
0.0000 1.5975 24.4876
1.3835 0.7987 2.0779
1.3835 0.7987 15.6324
1.3835 0.7987 22.1379